(1)
Entry from Alexandria: a relaxed PuMgNpIr crystal (PBE).

The space group is F-43m (No. 216) and the conventional cell measures 6.795, 6.795 and 6.795 Å, with angles of 90.00, 90.00 and 90.00 degrees. Symmetry generates all atoms from Pu at (0.000, 0.000, 0.000), Mg at (0.250, 0.250, 0.750), Np at (0.250, 0.250, 0.250) and Ir at (0.000, 0.000, 0.500).

The formation energy is -0.10 eV/atom. As for the crystal system: cubic. Its calculated total energy is -9.53 eV per atom. The density of states at the Fermi level is 2.462 states/eV/atom.



(2)
Entry from Alexandria: a relaxed CoPt2Rh8 crystal (PBE).

The space group is Cmmm (No. 65) and the conventional cell measures 7.918, 10.119 and 4.187 Å, with angles of 90.00, 90.00 and 90.00 degrees. Symmetry generates all atoms from Co at (0.000, 0.000, 0.000), Pt at (0.000, 0.374, 0.500), Rh at (0.000, 0.238, 0.000), Rh at (0.163, 0.129, 0.500) and Rh at (0.173, 0.500, 0.000).

The formation energy is 0.29 eV/atom. As for the crystal system: orthorhombic. Its calculated total energy is -6.80 eV per atom. The density of states at the Fermi level is 1.578 states/eV/atom.



(3)
Entry from Alexandria: a relaxed Co5Ni2Rh2 crystal (PBE).

The space group is P-1 (No. 2) and the conventional cell measures 4.409, 4.464 and 5.721 Å, with angles of 82.86, 75.08 and 79.63 degrees. Symmetry generates all atoms from Co at (0.000, 0.000, 0.000), Co at (0.337, 0.659, 0.677), Co at (0.446, 0.892, 0.210), Ni at (0.225, 0.445, 0.103) and Rh at (0.121, 0.219, 0.557).

The formation energy is 0.04 eV/atom. As for the crystal system: triclinic. Its calculated total energy is -6.83 eV per atom. The density of states at the Fermi level is 1.234 states/eV/atom.



(4)
Entry from Alexandria: a relaxed Ca4PmSn5 crystal (PBE).

The space group is P4/mmm (No. 123) and the conventional cell measures 3.492, 3.492 and 22.932 Å, with angles of 90.00, 90.00 and 90.00 degrees. Symmetry generates all atoms from Ca at (0.000, 0.000, 0.100), Ca at (0.000, 0.000, 0.299), Pm at (0.000, 0.000, 0.500), Sn at (0.500, 0.500, 0.000), Sn at (0.500, 0.500, 0.200) and Sn at (0.500, 0.500, 0.400).

The formation energy is -0.62 eV/atom. As for the crystal system: tetragonal. Its calculated total energy is -3.90 eV per atom. The density of states at the Fermi level is 0.616 states/eV/atom.



(5)
Entry from Alexandria: a relaxed GaSnHgBi crystal (PBE).

The space group is F-43m (No. 216) and the conventional cell measures 7.601, 7.601 and 7.601 Å, with angles of 90.00, 90.00 and 90.00 degrees. Symmetry generates all atoms from Ga at (0.000, 0.000, 0.000), Sn at (0.000, 0.000, 0.500), Hg at (0.250, 0.250, 0.750) and Bi at (0.250, 0.250, 0.250).

The formation energy is 0.10 eV/atom. As for the crystal system: cubic. Its calculated total energy is -2.70 eV per atom. The density of states at the Fermi level is 0.726 states/eV/atom.



(6)
Entry from Alexandria: a relaxed HoSiAu crystal (PBE).

The space group is Pmmn (No. 59, origin choice 2) and the conventional cell measures 4.349, 14.256 and 7.620 Å, with angles of 90.00, 90.00 and 90.00 degrees. Symmetry generates all atoms from Ho at (0.250, 0.002, 0.218), Ho at (0.250, 0.250, 0.294), Ho at (0.250, 0.750, 0.293), Si at (0.250, 0.154, 0.909), Si at (0.250, 0.611, 0.593), Au at (0.250, 0.101, 0.586) and Au at (0.250, 0.640, 0.924).

As for the crystal system: orthorhombic. Its calculated total energy is -5.21 eV per atom. The density of states at the Fermi level is 0.460 states/eV/atom. The calculation puts the formation energy from raw total energies at -0.79 eV per atom.



Which value of calculated total energy does entry 5 give?
-2.70 eV per atom



What is the calculated total energy in the third record?
-6.83 eV per atom